Run w
Material: TlNiMo2
Method: DFT, GGA-PBE
State: relaxed

Computed properties:
* crystal system: tetragonal
* space-group type: No. 123
* total magnetization: 0.00 μB per cell

Unit cell a=2.857 b=2.857 c=7.951 alpha=90.00 beta=90.00 gamma=89.95
Fractional positions:
Mo 0.000 0.000 0.040
Mo 0.000 0.000 0.460
Ni 0.500 0.500 0.250
Tl 0.500 0.500 0.750



Run x
Material: TlNiMo2
Method: DFT, GGA-PBE
State: relaxed

Computed properties:
* crystal system: orthorhombic
* space-group type: No. 25
* total magnetization: 0.00 μB per cell

Unit cell a=2.773 b=4.022 c=5.949 alpha=90.00 beta=90.00 gamma=90.00
Fractional positions:
Mo 0.000 0.000 0.031
Mo 0.500 0.500 0.258
Ni 0.000 0.000 0.475
Tl 0.500 0.500 0.737



Run y
Material: TlNiMo2
Method: DFT, GGA-PBE
State: relaxed

Computed properties:
* crystal system: tetragonal
* space-group type: No. 99
* total magnetization: 0.00 μB per cell

Unit cell a=3.262 b=3.262 c=6.220 alpha=90.00 beta=90.00 gamma=90.00
Fractional positions:
Mo 0.000 0.000 0.041
Mo 0.500 0.500 0.247
Ni 0.000 0.000 0.483
Tl 0.500 0.500 0.729



What should be chosen as the least stable of them? Choose run x.



Run w
Material: TlNi2Mo
Method: DFT, GGA-PBE
State: relaxed

Computed properties:
* crystal system: monoclinic
* space-group type: No. 8
* total magnetization: 0.00 μB per cell

Unit cell a=4.641 b=4.641 c=4.925 alpha=78.85 beta=78.85 gamma=35.85
Fractional positions:
Mo 0.261 0.261 0.187
Ni 0.004 0.004 0.019
Ni 0.739 0.739 0.763
Tl 0.495 0.495 0.532



Run x
Material: TlNi2Mo
Method: DFT, GGA-PBE
State: relaxed

Computed properties:
* crystal system: tetragonal
* space-group type: No. 123
* total magnetization: 0.00 μB per cell

Unit cell a=2.870 b=2.870 c=7.367 alpha=90.00 beta=90.00 gamma=90.00
Fractional positions:
Mo 0.500 0.500 0.750
Ni 0.000 0.000 0.975
Ni 0.000 0.000 0.525
Tl 0.500 0.500 0.250



Run y
Material: TlNi2Mo
Method: DFT, GGA-PBE
State: relaxed

Computed properties:
* crystal system: cubic
* space-group type: No. 216
* total magnetization: 0.00 μB per cell

Unit cell a=4.406 b=4.406 c=4.406 alpha=60.00 beta=60.00 gamma=60.00
Fractional positions:
Mo 0.500 0.500 0.500
Ni 0.000 0.000 0.000
Ni 0.250 0.250 0.250
Tl 0.750 0.750 0.750



What should be chosen as the least stable of them? Choose run y.



Run w
Material: TlNi2Mo
Method: DFT, GGA-PBE
State: relaxed

Computed properties:
* crystal system: cubic
* space-group type: No. 225
* total magnetization: 0.41 μB per cell

Unit cell a=4.373 b=4.373 c=4.373 alpha=60.00 beta=60.00 gamma=60.00
Fractional positions:
Ni 0.250 0.250 0.250
Ni 0.750 0.750 0.750
Tl 0.500 0.500 0.500
Mo 0.000 0.000 0.000



Run x
Material: TlNi2Mo
Method: DFT, GGA-PBE
State: relaxed

Computed properties:
* crystal system: monoclinic
* space-group type: No. 10
* total magnetization: 0.00 μB per cell

Unit cell a=3.544 b=2.879 c=6.623 alpha=64.33 beta=90.00 gamma=90.00
Fractional positions:
Mo 0.500 0.750 0.750
Ni 0.000 0.042 0.959
Ni 0.000 0.458 0.541
Tl 0.500 0.250 0.250



Run y
Material: TlNi2Mo
Method: DFT, GGA-PBE
State: relaxed

Computed properties:
* crystal system: orthorhombic
* space-group type: No. 44
* total magnetization: 0.00 μB per cell

Unit cell a=5.365 b=5.365 c=5.365 alpha=149.32 beta=130.00 gamma=59.81
Fractional positions:
Mo 0.769 0.269 0.500
Ni 0.009 0.009 0.000
Ni 0.232 0.732 0.500
Tl 0.489 0.489 0.000



Run z
Material: TlNi2Mo
Method: DFT, GGA-PBE
State: relaxed

Computed properties:
* crystal system: tetragonal
* space-group type: No. 122
* total magnetization: 0.00 μB per cell

Unit cell a=6.908 b=6.908 c=5.619 alpha=52.07 beta=52.07 gamma=90.00
Fractional positions:
Ni 0.598 0.125 0.250
Ni 0.152 0.625 0.250
Ni 0.375 0.402 0.750
Ni 0.875 0.848 0.750
Tl 0.000 0.000 0.000
Tl 0.750 0.250 0.500
Mo 0.500 0.500 0.000
Mo 0.250 0.750 0.500



What should be chosen as the least stable of them? Choose run z.



Run w
Material: TlNi2Mo
Method: DFT, GGA-PBE
State: relaxed

Computed properties:
* crystal system: orthorhombic
* space-group type: No. 65
* total magnetization: 0.00 μB per cell

Unit cell a=4.608 b=4.608 c=2.813 alpha=90.00 beta=90.00 gamma=89.83
Fractional positions:
Mo 0.000 0.500 0.500
Ni 0.000 0.000 0.000
Ni 0.500 0.500 0.000
Tl 0.500 0.000 0.500



Run x
Material: TlNi2Mo
Method: DFT, GGA-PBE
State: relaxed

Computed properties:
* crystal system: tetragonal
* space-group type: No. 119
* total magnetization: 0.85 μB per cell

Unit cell a=4.800 b=4.800 c=4.800 alpha=131.85 beta=131.85 gamma=70.46
Fractional positions:
Mo 0.750 0.250 0.500
Ni 0.000 0.000 0.000
Ni 0.250 0.750 0.500
Tl 0.500 0.500 0.000



What should be chosen as the least stable of them? Choose run x.



Run w
Material: TlNi2Mo
Method: DFT, GGA-PBE
State: relaxed

Computed properties:
* crystal system: tetragonal
* space-group type: No. 99
* total magnetization: 0.00 μB per cell

Unit cell a=3.038 b=3.038 c=6.536 alpha=90.00 beta=90.00 gamma=90.00
Fractional positions:
Mo 0.500 0.500 0.805
Ni 0.000 0.000 0.013
Ni 0.500 0.500 0.207
Tl 0.000 0.000 0.474



Run x
Material: TlNi2Mo
Method: DFT, GGA-PBE
State: relaxed

Computed properties:
* crystal system: monoclinic
* space-group type: No. 12
* total magnetization: 0.00 μB per cell

Unit cell a=4.475 b=4.475 c=5.182 alpha=82.42 beta=82.42 gamma=37.36
Fractional positions:
Mo 0.250 0.250 0.250
Ni 0.994 0.994 0.052
Ni 0.505 0.505 0.448
Tl 0.750 0.750 0.750



Run y
Material: TlNi2Mo
Method: DFT, GGA-PBE
State: relaxed

Computed properties:
* crystal system: orthorhombic
* space-group type: No. 38
* total magnetization: 0.00 μB per cell

Unit cell a=4.175 b=2.787 c=5.320 alpha=74.83 beta=90.00 gamma=90.00
Fractional positions:
Mo 0.500 0.782 0.811
Ni 0.000 0.198 0.978
Ni 0.500 0.062 0.252
Tl 0.000 0.458 0.459



What should be chosen as the least stable of them? Choose run x.



Run w
Material: Tl3NiMo
Method: DFT, GGA-PBE
State: relaxed

Computed properties:
* crystal system: cubic
* space-group type: No. 221
* total magnetization: 4.36 μB per cell

Unit cell a=5.062 b=5.062 c=5.062 alpha=90.00 beta=90.00 gamma=90.00
Fractional positions:
Ni 0.000 0.000 0.000
Tl 0.000 0.500 0.000
Tl 0.000 0.000 0.500
Tl 0.500 0.000 0.000
Mo 0.500 0.500 0.500



Run x
Material: Tl3NiMo
Method: DFT, GGA-PBE
State: relaxed

Computed properties:
* crystal system: cubic
* space-group type: No. 221
* total magnetization: 2.52 μB per cell

Unit cell a=5.383 b=5.383 c=5.383 alpha=90.00 beta=90.00 gamma=90.00
Fractional positions:
Ni 0.500 0.500 0.500
Tl 0.000 0.500 0.000
Tl 0.000 0.000 0.500
Tl 0.500 0.000 0.000
Mo 0.000 0.000 0.000



What should be chosen as the least stable of them? Choose run x.



Run w
Material: V2Ni2Mo
Method: DFT, GGA-PBE
State: relaxed

Computed properties:
* crystal system: tetragonal
* space-group type: No. 139
* total magnetization: 0.00 μB per cell

Unit cell a=3.511 b=3.511 c=5.990 alpha=72.96 beta=72.96 gamma=90.00
Fractional positions:
Ni 0.400 0.400 0.200
Ni 0.600 0.600 0.800
Mo 0.000 0.000 0.000
V 0.750 0.250 0.500
V 0.250 0.750 0.500



Run x
Material: V2Ni2Mo
Method: DFT, GGA-PBE
State: relaxed

Computed properties:
* crystal system: tetragonal
* space-group type: No. 127
* total magnetization: 0.00 μB per cell

Unit cell a=7.150 b=7.150 c=2.533 alpha=90.00 beta=90.00 gamma=90.00
Fractional positions:
Ni 0.378 0.878 0.000
Ni 0.878 0.622 0.000
Ni 0.622 0.122 0.000
Ni 0.122 0.378 0.000
Mo 0.000 0.000 0.000
Mo 0.500 0.500 0.000
V 0.173 0.673 0.500
V 0.673 0.827 0.500
V 0.827 0.327 0.500
V 0.327 0.173 0.500



What should be chosen as the least stable of them? Choose run w.



Run w
Material: V3NiMo
Method: DFT, GGA-PBE
State: relaxed

Computed properties:
* crystal system: cubic
* space-group type: No. 221
* total magnetization: 1.56 μB per cell

Unit cell a=4.489 b=4.489 c=4.489 alpha=90.00 beta=90.00 gamma=90.00
Fractional positions:
Ni 0.500 0.500 0.500
Mo 0.000 0.000 0.000
V 0.000 0.500 0.000
V 0.000 0.000 0.500
V 0.500 0.000 0.000



Run x
Material: V3NiMo
Method: DFT, GGA-PBE
State: relaxed

Computed properties:
* crystal system: cubic
* space-group type: No. 221
* total magnetization: 0.00 μB per cell

Unit cell a=4.293 b=4.293 c=4.293 alpha=90.00 beta=90.00 gamma=90.00
Fractional positions:
Ni 0.000 0.000 0.000
Mo 0.500 0.500 0.500
V 0.000 0.500 0.000
V 0.000 0.000 0.500
V 0.500 0.000 0.000



What should be chosen as the least stable of them? Choose run w.



Run w
Material: VNi3Mo
Method: DFT, GGA-PBE
State: relaxed

Computed properties:
* crystal system: cubic
* space-group type: No. 221
* total magnetization: 0.23 μB per cell

Unit cell a=4.183 b=4.183 c=4.183 alpha=90.00 beta=90.00 gamma=90.00
Fractional positions:
Ni 0.000 0.500 0.000
Ni 0.000 0.000 0.500
Ni 0.500 0.000 0.000
Mo 0.500 0.500 0.500
V 0.000 0.000 0.000



Run x
Material: VNi3Mo
Method: DFT, GGA-PBE
State: relaxed

Computed properties:
* crystal system: monoclinic
* space-group type: No. 12
* total magnetization: 0.00 μB per cell

Unit cell a=4.393 b=4.160 c=7.524 alpha=106.05 beta=97.81 gamma=90.00
Fractional positions:
V 0.365 0.129 0.258
V 0.635 0.871 0.742
Ni 0.765 0.033 0.066
Ni 0.235 0.967 0.934
Ni 0.548 0.698 0.396
Ni 0.452 0.302 0.604
Ni 0.104 0.786 0.573
Ni 0.896 0.214 0.427
Mo 0.019 0.399 0.797
Mo 0.981 0.601 0.203



What should be chosen as the least stable of them? Choose run w.



Run w
Material: NiMoW
Method: DFT, GGA-PBE
State: relaxed

Computed properties:
* crystal system: orthorhombic
* space-group type: No. 42
* total magnetization: 0.00 μB per cell

Unit cell a=6.527 b=6.406 c=2.671 alpha=80.63 beta=75.55 gamma=23.82
Fractional positions:
Mo 0.992 0.992 0.008
Ni 0.333 0.333 0.667
W 0.675 0.675 0.325



Run x
Material: NiMoW
Method: DFT, GGA-PBE
State: relaxed

Computed properties:
* crystal system: trigonal
* space-group type: No. 156
* total magnetization: 0.00 μB per cell

Unit cell a=4.414 b=4.414 c=2.594 alpha=90.00 beta=90.00 gamma=120.00
Fractional positions:
Mo 0.000 0.000 0.976
Ni 0.667 0.333 0.411
W 0.333 0.667 0.613



What should be chosen as the least stable of them? Choose run x.



Run w
Material: NiMoW
Method: DFT, GGA-PBE
State: relaxed

Computed properties:
* crystal system: tetragonal
* space-group type: No. 92
* total magnetization: 0.00 μB per cell

Unit cell a=5.410 b=5.410 c=7.080 alpha=90.00 beta=90.00 gamma=90.00
Fractional positions:
Ni 0.497 0.497 0.000
Ni 0.503 0.503 0.500
Ni 0.003 0.997 0.250
Ni 0.997 0.003 0.750
Mo 0.701 0.299 0.750
Mo 0.799 0.799 0.500
Mo 0.201 0.201 0.000
Mo 0.299 0.701 0.250
W 0.705 0.295 0.250
W 0.795 0.795 0.000
W 0.205 0.205 0.500
W 0.295 0.705 0.750



Run x
Material: NiMoW
Method: DFT, GGA-PBE
State: relaxed

Computed properties:
* crystal system: orthorhombic
* space-group type: No. 44
* total magnetization: 0.00 μB per cell

Unit cell a=4.817 b=4.817 c=4.817 alpha=148.48 beta=130.99 gamma=59.45
Fractional positions:
Mo 0.997 0.997 0.000
Ni 0.332 0.332 0.000
W 0.671 0.671 0.000



What should be chosen as the least stable of them? Choose run w.